10
Lattice="-1.263 3.339 -2.939 -6.000 -0.492 -1.618 -2.649 8.061 6.660" Properties=species:S:1:pos:R:3 comment="Ca2Tl2Ga PBE relaxed" formation_enthalpy_0k_ev_per_fu=-1.8 crystal_system=monoclinic pbc="T T T"
Ca -4.882 0.771 -0.664
Ca -5.031 10.138 2.767
Ga -3.138 7.470 2.561
Ca -3.685 4.740 -0.306
Tl -3.055 4.671 2.982
Tl -8.021 8.939 2.691
Tl -6.858 6.238 -0.879
Ca -6.229 6.168 2.410
Tl -1.892 1.969 -0.587
Ga -6.775 3.438 -0.457



4
Lattice="3.404 0.000 0.000 0.000 3.018 -0.110 0.000 -2.749 7.301" Properties=species:S:1:pos:R:3 comment="Rh2SeCl PBE relaxed" crystal_system=orthorhombic formation_energy_uncorrected_ev_per_fu=0.6 pbc="T T T"
Rh 0.000 0.128 3.453
Rh 0.000 0.007 0.142
Se 1.702 0.067 1.798
Cl 1.702 0.202 5.393



5
Lattice="-0.295 -4.102 1.595 4.386 -0.405 -0.231 2.507 -0.246 5.929" Properties=species:S:1:pos:R:3 comment="LiMg2Ge2 PBE relaxed" formation_enthalpy_0k_ev_per_fu=-0.7 crystal_system=tetragonal pbc="T T T"
Ge 2.144 -1.825 1.802
Mg 4.469 -1.452 3.190
Mg 2.129 -3.301 4.103
Li 0.000 0.000 0.000
Ge 4.454 -2.928 5.491



12
Lattice="7.023 0.000 0.000 0.000 7.400 0.000 -3.511 -3.700 7.017" Properties=species:S:1:pos:R:3 comment="La3NdRh2 PBE relaxed" formation_enthalpy_0k_ev_per_fu=-2.9 crystal_system=orthorhombic pbc="T T T"
La 3.511 1.850 0.000
Rh 1.461 0.000 5.082
Rh 4.972 0.000 1.936
La 3.511 1.850 3.771
Nd 0.000 0.000 0.000
La 0.000 5.550 3.246
La 3.511 -1.850 3.771
La 0.000 1.850 3.246
Rh 2.051 3.700 1.936
La 3.511 5.550 0.000
Rh -1.461 3.700 5.082
Nd 0.000 3.700 0.000



14
Lattice="-5.094 -5.579 -1.472 2.513 -6.864 -2.802 -1.903 -4.881 4.967" Properties=species:S:1:pos:R:3 comment="YAl2S4 PBE relaxed" crystal_system=orthorhombic formation_energy_uncorrected_ev_per_fu=-8.6 pbc="T T T"
S -2.606 -6.865 -0.613
S -1.344 -10.312 -1.971
S -0.258 -3.996 0.134
Al -2.325 -8.117 2.983
Al -1.041 -7.983 -1.967
Al -3.771 -13.833 -0.533
S -4.523 -8.528 2.265
S 1.011 -7.469 -1.153
S -0.715 -9.186 1.642
Al -2.142 -5.058 0.814
Y -3.043 -9.540 0.115
Y -2.108 -11.926 -4.137
S -1.881 -5.896 2.891
S -3.158 -12.160 0.868



10
Lattice="-5.364 -0.587 -4.961 -0.187 -5.767 -1.161 -4.031 -3.326 2.707" Properties=species:S:1:pos:R:3 comment="Hf6MnHg3 PBE relaxed" formation_enthalpy_0k_ev_per_fu=2.3 crystal_system=monoclinic pbc="T T T"
Hf -3.228 -5.846 0.481
Hg -2.193 -1.330 -1.340
Hg -7.389 -8.350 -2.075
Mn -4.791 -4.840 -1.708
Hf -7.222 -5.557 -1.437
Hf -5.360 -6.739 -3.310
Hg 0.000 0.000 0.000
Hf -2.360 -4.123 -1.979
Hf -4.222 -2.941 -0.106
Hf -6.354 -3.834 -3.897



11
Lattice="-3.015 -2.146 -4.718 0.758 -5.701 1.696 -5.201 -0.147 2.979" Properties=species:S:1:pos:R:3 comment="Li8Zn3 PBE relaxed" formation_enthalpy_0k_ev_per_fu=0.7 crystal_system=trigonal pbc="T T T"
Li -4.247 -4.353 3.106
Zn -2.221 -2.924 2.337
Li -5.354 -1.666 1.429
Li -2.840 -3.044 -0.016
Zn -4.108 -1.146 -0.869
Zn -1.128 -3.923 -1.511
Li -4.618 -4.949 -0.026
Li -1.391 -5.364 1.663
Li -6.067 -2.629 -1.705
Li -2.105 -6.328 -1.472
Li -3.212 -3.640 -3.149



3
Lattice="5.943 0.005 -0.011 3.971 4.429 0.005 -4.955 -2.225 2.425" Properties=species:S:1:pos:R:3 comment="ZrSbPt PBE relaxed" crystal_system=monoclinic formation_energy_uncorrected_ev_per_fu=-1.8 pbc="T T T"
Zr 1.419 0.627 2.420
Sb 3.371 1.499 0.006
Pt -4.786 -2.142 2.418



19
Lattice="-5.829 -3.401 -1.381 5.043 -4.298 -1.882 0.335 0.214 6.877" Properties=species:S:1:pos:R:3 comment="PaAl12Ni6 PBE relaxed" formation_enthalpy_0k_ev_per_fu=-7.7 crystal_system=trigonal pbc="T T T"
Al -4.382 -3.400 1.999
Al 1.026 -5.500 1.642
Al -1.477 -1.986 1.972
Ni -2.497 -3.586 3.434
Al -2.582 -5.125 -1.351
Al 1.307 -2.215 1.843
Al -1.757 -5.270 1.770
Ni 2.181 -3.972 3.218
Ni 0.021 -1.958 3.949
Ni 2.046 -3.899 0.180
Al -0.272 -3.141 -0.271
Al -0.179 -4.345 3.885
Al 1.575 -5.468 -1.542
Ni -0.472 -5.528 -0.335
Pa 0.000 0.000 0.000
Al -2.026 -2.017 5.156
Al 2.131 -2.360 4.964
Ni -2.631 -3.513 0.396
Al 3.932 -4.086 1.615



4
Lattice="3.036 0.000 0.000 0.000 3.913 0.000 0.000 0.000 6.716" Properties=species:S:1:pos:R:3 comment="LaMoPt2 PBE relaxed" formation_enthalpy_0k_ev_per_fu=-0.7 crystal_system=orthorhombic pbc="T T T"
Pt 0.000 0.000 6.555
Pt 1.518 1.957 1.461
Mo 1.518 1.957 5.516
La 0.000 0.000 3.257



16
Lattice="4.305 0.000 0.000 -2.152 6.103 0.000 0.000 0.000 17.503" Properties=species:S:1:pos:R:3 comment="Ba3Cu2As3 PBE relaxed" formation_enthalpy_0k_ev_per_fu=-5.7 crystal_system=orthorhombic pbc="T T T"
As 2.152 1.353 7.517
As 2.152 1.353 1.234
Cu 2.152 4.013 15.287
Cu 0.000 2.090 2.216
Cu 0.000 2.090 6.536
Ba 2.152 0.885 4.376
Ba 0.000 1.477 16.081
Cu 2.152 4.013 10.968
As 0.000 4.750 16.269
As 2.152 2.670 13.127
Ba 0.000 5.218 13.127
Ba 2.152 4.626 7.329
Ba 0.000 1.477 10.174
As 0.000 3.433 4.376
Ba 2.152 4.626 1.423
As 0.000 4.750 9.986



4
Lattice="2.596 0.000 0.000 0.000 2.596 0.000 0.000 0.000 6.596" Properties=species:S:1:pos:R:3 comment="AlV2H PBE relaxed" crystal_system=tetragonal final_energy_ev_per_atom=-6.280 pbc="T T T"
V 0.000 0.000 5.358
Al 1.298 1.298 3.298
V 0.000 0.000 1.239
H 1.298 1.298 0.000



20
Lattice="9.122 0.085 0.087 -0.113 9.122 0.087 -0.113 -0.115 9.122" Properties=species:S:1:pos:R:3 comment="Cs3NiCl6 PBE relaxed" crystal_system=trigonal formation_energy_uncorrected_ev_per_fu=-13.5 pbc="T T T"
Cs 8.412 6.932 4.178
Cl 4.914 4.060 2.400
Cl 2.202 4.963 4.112
Cs 2.150 5.105 0.646
Cl 3.952 2.289 5.053
Cs 6.747 3.987 8.651
Ni 0.000 0.000 0.000
Cl 8.253 7.058 0.707
Cl 2.020 8.571 0.879
Cl 0.644 2.035 8.589
Cl 6.695 4.129 5.184
Cs 3.840 8.497 7.023
Cs 0.485 2.161 5.118
Cs 5.057 0.595 2.274
Cl 3.983 5.032 6.896
Ni 4.449 4.546 4.648
Cl 8.526 0.830 2.225
Cl 4.945 6.803 4.243
Cl 0.371 8.263 7.072
Cl 6.877 0.521 8.418



8
Lattice="-1.791 -1.158 -3.596 -3.412 -5.393 3.437 -4.556 6.279 0.246" Properties=species:S:1:pos:R:3 comment="K2LaTbS4 PBE relaxed" crystal_system=monoclinic formation_energy_uncorrected_ev_per_fu=-15.2 pbc="T T T"
S -4.568 3.520 1.141
K -3.173 2.560 -1.675
K -3.984 0.443 1.841
S -3.400 -2.635 2.542
La 0.000 0.000 0.000
S -2.675 -0.608 -0.902
Tb -2.602 -3.276 -0.080
S -7.084 0.335 0.989



5
Lattice="4.949 0.000 0.000 0.000 4.949 0.000 0.000 0.000 3.578" Properties=species:S:1:pos:R:3 comment="Y2FeHAu PBE relaxed" crystal_system=tetragonal final_energy_ev_per_atom=-6.011 pbc="T T T"
Au 2.474 2.474 1.789
Y 0.000 2.474 0.000
Y 2.474 0.000 0.000
Fe 0.000 0.000 1.789
H 0.000 0.000 0.000



4
Lattice="-2.329 5.989 2.695 -5.597 3.733 1.815 -3.491 3.019 5.221" Properties=species:S:1:pos:R:3 comment="CdSe3 PBE relaxed" crystal_system=trigonal formation_energy_uncorrected_ev_per_fu=0.1 pbc="T T T"
Se -2.822 3.149 2.405
Se -8.595 9.592 7.325
Cd 0.000 0.000 0.000
Se -5.709 6.370 4.865



10
Lattice="-4.891 -3.635 2.890 1.950 -5.417 -3.513 2.404 -0.977 2.841" Properties=species:S:1:pos:R:3 comment="TcGe2S2 PBE relaxed" crystal_system=tetragonal formation_energy_uncorrected_ev_per_fu=2.3 pbc="T T T"
S 1.576 -5.046 -0.463
Ge -2.862 -3.098 1.357
S -2.113 -4.983 2.681
S -0.691 -7.359 0.660
Tc 0.000 0.000 0.000
Ge -2.949 -6.595 0.228
Ge 0.007 -2.456 -0.851
Tc -1.471 -4.526 -0.311
Ge -0.080 -5.954 -1.980
S 0.154 -2.670 1.558



8
Lattice="6.174 0.000 -0.001 0.000 3.124 0.000 -5.894 0.000 6.776" Properties=species:S:1:pos:R:3 comment="AsRh PBE relaxed" formation_enthalpy_0k_ev_per_fu=-0.6 crystal_system=monoclinic pbc="T T T"
Rh 0.556 0.000 4.755
As 1.590 0.000 0.241
As 1.637 1.562 3.147
As -1.310 0.000 6.535
Rh 3.503 1.562 1.367
Rh -3.223 1.562 5.409
Rh -0.276 0.000 2.021
As -1.357 1.562 3.629



5
Lattice="4.708 0.000 0.000 0.000 3.709 0.000 0.000 0.000 4.708" Properties=species:S:1:pos:R:3 comment="SiBPt2S PBE relaxed" crystal_system=tetragonal formation_energy_uncorrected_ev_per_fu=4.2 pbc="T T T"
Pt 2.354 0.000 0.000
S 2.354 1.854 2.354
Pt 0.000 0.000 2.354
B 0.000 1.854 0.000
Si 0.000 0.000 0.000



15
Lattice="-1.587 -6.216 -3.931 0.313 -0.296 7.548 -5.079 5.583 0.429" Properties=species:S:1:pos:R:3 comment="Ho3Sc4S8 PBE relaxed" crystal_system=monoclinic formation_energy_uncorrected_ev_per_fu=-29.5 pbc="T T T"
Ho -3.333 -0.316 -1.751
S -3.749 4.132 2.186
S -3.624 3.948 6.006
Ho -3.177 -0.464 2.023
S -1.939 -1.788 -0.008
S -1.018 1.155 5.791
Sc -0.794 -3.108 -1.966
Sc -2.540 2.792 0.215
Sc 0.000 0.000 0.000
S -2.730 -4.876 -1.960
Ho -0.637 -3.256 1.808
S -1.805 -1.961 3.835
S -4.415 0.859 4.054
Sc 0.156 -0.148 3.774
S -4.550 1.032 0.211



14
Lattice="7.465 -1.142 -0.151 -1.683 7.368 0.151 -2.782 -3.217 6.275" Properties=species:S:1:pos:R:3 comment="Ce4ZnOs2 PBE relaxed" formation_enthalpy_0k_ev_per_fu=-1.1 crystal_system=orthorhombic pbc="T T T"
Os -2.446 0.824 5.697
Ce 2.244 -1.193 1.530
Ce 5.036 3.126 0.670
Ce -0.401 -1.637 4.710
Os 1.253 0.284 3.759
Ce 3.666 1.495 3.807
Zn 5.781 6.225 0.000
Os 3.194 4.283 2.516
Ce 3.331 -2.207 4.592
Ce -0.036 2.038 5.603
Zn -0.789 3.631 3.212
Ce 1.402 2.493 1.565
Ce 5.907 -0.588 2.316
Os 4.003 0.630 0.578



4
Lattice="3.823 -0.074 0.000 0.062 3.824 0.000 -1.943 -1.875 2.708" Properties=species:S:1:pos:R:3 comment="Be2CrNi PBE relaxed" formation_enthalpy_0k_ev_per_fu=-0.1 crystal_system=tetragonal pbc="T T T"
Ni 1.912 -0.037 1.354
Be 0.031 1.912 1.354
Be 0.000 0.000 0.000
Cr 1.943 1.875 0.000



16
Lattice="7.318 -0.017 0.000 0.014 7.318 0.000 0.000 0.000 9.383" Properties=species:S:1:pos:R:3 comment="Na14HgPd PBE relaxed" formation_enthalpy_0k_ev_per_fu=-0.4 crystal_system=tetragonal pbc="T T T"
Na 1.012 4.483 6.673
Na 4.487 0.993 2.710
Na 2.757 6.397 4.692
Na 1.005 1.001 2.710
Hg 6.415 6.388 4.692
Na 1.012 4.483 2.710
Na 2.757 6.397 0.000
Na 6.408 2.729 4.692
Na 2.749 2.738 0.000
Na 4.494 4.475 2.710
Na 6.415 6.388 0.000
Pd 2.749 2.738 4.692
Na 6.408 2.729 0.000
Na 1.005 1.001 6.673
Na 4.494 4.475 6.673
Na 4.487 0.993 6.673



Looking at M_tot for the records above, in order, we have 0.000, 0.000, 0.000, 0.000, 0.000, 0.000, 0.000, 0.000, 0.038, 0.000, 0.000, 0.000, 0.100, 0.000, 0.223, 0.000, 0.000, 0.000, 0.000, 0.000, 0.002, 0.500, 0.000 μB per atom.